[1]
Below is a geometry-optimized Y2SnMo structure, with properties calculated at the PBE level.

Values from the calculation:
The value obtained for the raw total energy is -27.58 eV per formula unit. The total magnetic moment is 7.85 μB/cell.

Cell lengths 7.1619, 7.1619, 7.1619 Å; angles 90.00, 90.00, 90.00 degrees
Closest atoms and distances in Å follow each position.
Element x y z (fractional)
Y 0.0000 0.0000 0.0000  4 Mo 3.10, 4 Y 3.10
Y 0.0000 0.5000 0.5000  4 Mo 3.10, 4 Y 3.10
Y 0.2500 0.2500 0.2500  4 Sn 3.10, 4 Y 3.10
Y 0.2500 0.7500 0.7500  4 Sn 3.10, 4 Y 3.10
Y 0.5000 0.0000 0.5000  4 Mo 3.10, 4 Y 3.10
Y 0.5000 0.5000 0.0000  4 Mo 3.10, 4 Y 3.10
Y 0.7500 0.2500 0.7500  4 Sn 3.10, 4 Y 3.10
Y 0.7500 0.7500 0.2500  4 Sn 3.10, 4 Y 3.10
Sn 0.0000 0.0000 0.5000  4 Y 3.10, 4 Mo 3.10
Sn 0.0000 0.5000 0.0000  4 Y 3.10, 4 Mo 3.10
Sn 0.5000 0.0000 0.0000  4 Y 3.10, 4 Mo 3.10
Sn 0.5000 0.5000 0.5000  4 Y 3.10, 4 Mo 3.10
Mo 0.2500 0.2500 0.7500  4 Sn 3.10, 4 Y 3.10
Mo 0.2500 0.7500 0.2500  4 Sn 3.10, 4 Y 3.10
Mo 0.7500 0.2500 0.2500  4 Sn 3.10, 4 Y 3.10
Mo 0.7500 0.7500 0.7500  4 Y 3.10, 4 Sn 3.10

[2]
Below is a geometry-optimized TbPr2Ag4Sn4 structure, with properties calculated at the PBE level.

Values from the calculation:
The value obtained for the raw total energy is -47.42 eV per formula unit. The total magnetic moment is 0.02 μB/cell.

Cell lengths 8.8922, 8.8922, 8.8922 Å; angles 149.53, 131.27, 58.57 degrees
Closest atoms and distances in Å follow each position.
Element x y z (fractional)
Tb 0.0000 0.0000 0.0000  6 Sn 3.21-3.30
Pr 0.3714 0.8714 0.5000  6 Ag 3.30-3.42, 6 Sn 3.39-3.40
Pr 0.6286 0.1286 0.5000  6 Ag 3.30-3.42, 6 Sn 3.39-3.40
Ag 0.0252 0.3290 0.6962  4 Sn 2.76-2.86, 1 Ag 2.88
Ag 0.3672 0.6710 0.6962  4 Sn 2.76-2.86, 1 Ag 2.88
Ag 0.6328 0.3290 0.3038  4 Sn 2.76-2.86, 1 Ag 2.88
Ag 0.9748 0.6710 0.3038  4 Sn 2.76-2.86, 1 Ag 2.88
Sn 0.2131 0.2131 0.0000  6 Ag 2.82-2.86
Sn 0.3006 0.5000 0.8006  2 Ag 2.76, 1 Sn 2.93
Sn 0.6994 0.5000 0.1994  2 Ag 2.76, 1 Sn 2.93
Sn 0.7869 0.7869 0.0000  6 Ag 2.82-2.86

[3]
Below is a geometry-optimized CuAg4 structure, with properties calculated at the PBE level.

Values from the calculation:
The value obtained for the raw total energy is -14.77 eV per formula unit. Its formation energy is 49 meV per atom. The distance to the lowest polymorph of the same formula comes out at 0.025 eV/atom.

Cell lengths 4.9843, 4.9843, 8.9943 Å; angles 90.93, 90.93, 48.36 degrees
Closest atoms and distances in Å follow each position.
Element x y z (fractional)
Cu 0.1412 0.1412 0.0469  3 Cu 2.69-2.98, 9 Ag 2.71-2.91
Cu 0.8588 0.8588 0.9531  3 Cu 2.69-2.98, 9 Ag 2.71-2.91
Ag 0.0433 0.0433 0.3411  1 Cu 2.81, 11 Ag 2.88-2.98
Ag 0.2636 0.2636 0.7678  3 Cu 2.76, 9 Ag 2.86-2.99
Ag 0.3475 0.3475 0.4488  12 Ag 2.87-2.99
Ag 0.4333 0.4333 0.1372  5 Cu 2.71-2.91, 7 Ag 2.77-2.92
Ag 0.5667 0.5667 0.8628  5 Cu 2.71-2.91, 7 Ag 2.77-2.92
Ag 0.6525 0.6525 0.5512  12 Ag 2.87-2.99
Ag 0.7364 0.7364 0.2322  3 Cu 2.76, 9 Ag 2.86-2.99
Ag 0.9567 0.9567 0.6589  1 Cu 2.81, 11 Ag 2.88-2.98